First-principles (GGA-PBE) data for a relaxed DyIn5Rh6 crystal, as listed in the Alexandria database.

Calculated values
Uncorrected energy in eV/atom: -5.749
DOS at the Fermi energy in states/eV per atom: 0.234

abc: 4.5487 6.7189 7.1859
angles: 90.00 71.63 90.00
Closest atoms and distances in Å follow each position.
Element x y z (fractional)
1 Dy 0.0000 0.0000 0.0000  8 Rh 2.87-2.88, 4 In 3.20-3.21
2 Rh 0.8299 0.7458 0.3401  7 In 2.78-2.85, 1 Dy 2.88
3 Rh 0.8299 0.2542 0.3401  7 In 2.78-2.85, 1 Dy 2.88
4 Rh 0.5000 0.2607 0.0000  6 In 2.78-2.86, 2 Dy 2.87
5 Rh 0.5000 0.7393 0.0000  6 In 2.78-2.86, 2 Dy 2.87
6 Rh 0.1701 0.7458 0.6599  7 In 2.78-2.85, 1 Dy 2.88
7 Rh 0.1701 0.2542 0.6599  7 In 2.78-2.85, 1 Dy 2.88
8 In 0.6660 0.5000 0.6684  8 Rh 2.78-2.81
9 In 0.3343 0.0000 0.3315  8 Rh 2.82-2.86
10 In 0.0000 0.5000 0.0000  8 Rh 2.79-2.85
11 In 0.6657 0.0000 0.6685  8 Rh 2.82-2.86
12 In 0.3340 0.5000 0.3316  8 Rh 2.78-2.81

=====

First-principles (GGA-PBE) data for a relaxed DyIn9Rh2 crystal, as listed in the Alexandria database.

Calculated values
Uncorrected energy in eV/atom: -3.785
DOS at the Fermi energy in states/eV per atom: 0.519

abc: 7.2039 9.4738 9.4738
angles: 81.69 67.65 67.65
Closest atoms and distances in Å follow each position.
Element x y z (fractional)
1 Dy 0.5000 0.0000 0.0000  10 In 3.43-3.60
2 Dy 0.2500 0.5000 0.5000  10 In 3.43-3.60
3 In 0.7500 0.5000 0.5000  8 In 3.08, 4 Rh 3.23
4 In 0.0000 0.0000 0.0000  8 In 3.08, 4 Rh 3.23
5 In 0.9756 0.9385 0.6983  2 Rh 2.83-2.94, 6 In 2.97-3.16
6 In 0.6124 0.0615 0.3017  2 Rh 2.83-2.94, 6 In 2.97-3.16
7 In 0.6640 0.1983 0.5615  2 Rh 2.83-2.94, 6 In 2.97-3.16
8 In 0.4239 0.8017 0.4385  2 Rh 2.83-2.94, 6 In 2.97-3.16
9 In 0.7744 0.8017 0.5615  2 Rh 2.83-2.94, 6 In 2.97-3.16
10 In 0.1376 0.1983 0.4385  2 Rh 2.83-2.94, 6 In 2.97-3.16
11 In 0.0860 0.9385 0.3017  2 Rh 2.83-2.94, 6 In 2.97-3.16
12 In 0.3261 0.0615 0.6983  2 Rh 2.83-2.94, 6 In 2.97-3.16
13 In 0.7744 0.5615 0.8017  2 Rh 2.83-2.94, 6 In 2.97-3.16
14 In 0.1376 0.4385 0.1983  2 Rh 2.83-2.94, 6 In 2.97-3.16
15 In 0.0860 0.3017 0.9385  2 Rh 2.83-2.94, 6 In 2.97-3.16
16 In 0.3261 0.6983 0.0615  2 Rh 2.83-2.94, 6 In 2.97-3.16
17 In 0.9756 0.6983 0.9385  2 Rh 2.83-2.94, 6 In 2.97-3.16
18 In 0.6124 0.3017 0.0615  2 Rh 2.83-2.94, 6 In 2.97-3.16
19 In 0.6640 0.5615 0.1983  2 Rh 2.83-2.94, 6 In 2.97-3.16
20 In 0.4239 0.4385 0.8017  2 Rh 2.83-2.94, 6 In 2.97-3.16
21 Rh 0.8750 0.2500 0.7500  8 In 2.83-2.94
22 Rh 0.8750 0.7500 0.2500  8 In 2.83-2.94
23 Rh 0.8750 0.2500 0.2500  8 In 2.83-2.94
24 Rh 0.3750 0.7500 0.7500  8 In 2.83-2.94

=====

First-principles (GGA-PBE) data for a relaxed Dy4In5Rh2 crystal, as listed in the Alexandria database.

Calculated values
Uncorrected energy in eV/atom: -4.864
DOS at the Fermi energy in states/eV per atom: 0.632

abc: 3.6130 7.7017 9.6509
angles: 94.35 90.00 90.00
Closest atoms and distances in Å follow each position.
Element x y z (fractional)
1 Dy 0.5000 0.7826 0.5571  4 Rh 2.91-2.95
2 Dy 0.5000 0.1752 0.8504  2 Rh 2.77
3 Dy 0.5000 0.2174 0.4429  4 Rh 2.91-2.95
4 Dy 0.5000 0.8248 0.1495  2 Rh 2.77
5 In 0.0000 0.5466 0.3253  1 Rh 2.91, 2 In 3.13-3.21
6 In 0.0000 0.1754 0.1500  1 Rh 2.89, 2 In 2.98-3.21
7 In 0.0000 0.5000 0.0000  4 In 2.98-3.13, 4 Dy 3.33
8 In 0.0000 0.8246 0.8500  1 Rh 2.89, 2 In 2.98-3.21
9 In 0.0000 0.4534 0.6747  1 Rh 2.91, 2 In 3.13-3.21
10 Rh 0.0000 0.0748 0.6415  6 Dy 2.77-2.95, 1 Rh 2.88, 2 In 2.89-2.91
11 Rh 0.0000 0.9252 0.3585  6 Dy 2.77-2.95, 1 Rh 2.88, 2 In 2.89-2.91

=====

Q: Look up the DOS at the Fermi energy of the third one.
A: 0.632 states/eV per atom